An optimized crystal structure of NaPrAg. Source: the Open Quantum Materials Database, functional PBE-GGA.

Cell lengths 7.1397, 7.1397, 7.1397 Å; angles 90.00, 90.00, 90.00 degrees
Closest atoms and distances in Å follow each position.
Space group F-43m (No. 216)
Unique sites:
Na (0.0000, 0.0000, 0.0000) x4  4 Ag 3.09
Pr (0.0000, 0.0000, 0.5000) x4  4 Ag 3.09
Ag (0.2500, 0.2500, 0.2500) x4  4 Na 3.09, 4 Pr 3.09

---

An optimized crystal structure of Ac2Hf. Source: the Open Quantum Materials Database, functional PBE-GGA.

Cell lengths 13.2169, 13.2169, 13.2169 Å; angles 90.00, 90.00, 90.00 degrees
Closest atoms and distances in Å follow each position.
Space group Fd-3m (No. 227, origin choice 2)
Unique sites:
Ac (0.0000, 0.0000, 0.0000) x16  2 Hf 2.86
Hf (0.1250, 0.1250, 0.1250) x8  4 Ac 2.86

Calculated values
Energy of formation, eV per formula unit: 6.735

---

An optimized crystal structure of CsFe3Sn5. Source: the Open Quantum Materials Database, functional PBE-GGA.

Cell lengths 5.2461, 5.2461, 9.7557 Å; angles 90.00, 90.00, 120.00 degrees
Closest atoms and distances in Å follow each position.
Space group P6/mmm (No. 191)
Unique sites:
Cs (0.0000, 0.0000, 0.0000) x1  12 Sn 3.98
Fe (0.0000, 0.5000, 0.5000) x3  6 Sn 2.62-2.75, 4 Fe 2.62
Sn (0.0000, 0.0000, 0.5000) x1  6 Fe 2.62
Sn (0.3333, 0.6667, 0.2643) x4  3 Fe 2.75, 3 Sn 3.03

---

Calculated total energy, record by record: -2.868 -3.811 -5.184 eV/atom